Entry 1:
A plane-wave DFT calculation with PBE was carried out for crystalline Dy4GaI5 at its relaxed geometry.

abc: 19.140 4.223 8.789
angles: 90.00 102.40 90.00
Space group C2/m (No. 12)
Symmetry-distinct sites (fractional):
1 Dy 0.000 0.000 0.214 [4 per cell]
2 Dy 0.147 0.500 0.074 [4 per cell]
3 Ga 0.000 0.500 0.000 [2 per cell]
4 I 0.000 0.500 0.500 [2 per cell]
5 I 0.167 0.000 0.337 [4 per cell]
6 I 0.173 0.000 0.829 [4 per cell]

ρ, g cm⁻³: 6.482
Raw total energy, eV/atom: -4.00

Entry 2:
A plane-wave DFT calculation with PBE was carried out for crystalline BeTlFeOs at its relaxed geometry.

abc: 6.092 6.092 6.092
angles: 90.00 90.00 90.00
Space group F-43m (No. 216)
Symmetry-distinct sites (fractional):
1 Be 0.000 0.000 0.000 [4 per cell]
2 Tl 0.250 0.250 0.250 [4 per cell]
3 Fe 0.000 0.000 0.500 [4 per cell]
4 Os 0.250 0.250 0.750 [4 per cell]

ρ, g cm⁻³: 13.499
Raw total energy, eV/atom: -5.80
Energy relative to the lowest polymorph listed for this composition, meV per atom: 0

Entry 3:
A plane-wave DFT calculation with PBE was carried out for crystalline LiLuTlNi at its relaxed geometry.

abc: 6.666 6.666 6.666
angles: 90.00 90.00 90.00
Space group F-43m (No. 216)
Symmetry-distinct sites (fractional):
1 Li 0.000 0.000 0.000 [4 per cell]
2 Lu 0.250 0.250 0.250 [4 per cell]
3 Tl 0.000 0.000 0.500 [4 per cell]
4 Ni 0.250 0.250 0.750 [4 per cell]

ρ, g cm⁻³: 9.979
Raw total energy, eV/atom: -3.63
Energy relative to the lowest polymorph listed for this composition, meV per atom: 222

Entry 4:
A plane-wave DFT calculation with PBE was carried out for crystalline LiScFeS3 at its relaxed geometry.

abc: 7.240 3.606 8.850
angles: 90.00 102.62 90.00
Space group P2_1/m (No. 11)
Symmetry-distinct sites (fractional):
1 Li 0.170 0.250 0.144 [2 per cell]
2 Sc 0.336 0.750 0.852 [2 per cell]
3 Fe 0.078 0.250 0.598 [2 per cell]
4 S 0.083 0.250 0.848 [2 per cell]
5 S 0.207 0.750 0.541 [2 per cell]
6 S 0.414 0.750 0.151 [2 per cell]

ρ, g cm⁻³: 3.004
Raw total energy, eV/atom: -6.04
Energy relative to the lowest polymorph listed for this composition, meV per atom: 0

Entry 5:
A plane-wave DFT calculation with PBE was carried out for crystalline NaGeSbOs at its relaxed geometry.

abc: 6.549 6.549 6.549
angles: 90.00 90.00 90.00
Space group F-43m (No. 216)
Symmetry-distinct sites (fractional):
1 Na 0.000 0.000 0.000 [4 per cell]
2 Ge 0.250 0.250 0.750 [4 per cell]
3 Sb 0.250 0.250 0.250 [4 per cell]
4 Os 0.000 0.000 0.500 [4 per cell]

ρ, g cm⁻³: 9.638
Raw total energy, eV/atom: -5.08
Energy relative to the lowest polymorph listed for this composition, meV per atom: 0

Entry 6:
A plane-wave DFT calculation with PBE was carried out for crystalline YHoNi2As2 at its relaxed geometry.

abc: 4.0619 4.0619 15.4199
angles: 90.00 90.00 120.00
Space group P6_3/mmc (No. 194)
Symmetry-distinct sites (fractional):
1 Y 0.0000 0.0000 0.0000 [2 per cell]
2 Ho 0.0000 0.0000 0.2500 [2 per cell]
3 Ni 0.3333 0.6667 0.1329 [4 per cell]
4 As 0.3333 0.6667 0.6212 [4 per cell]

ρ, g cm⁻³: 7.854
Raw total energy, eV/atom: -6.32
Energy relative to the lowest polymorph listed for this composition, meV per atom: 0

Entry 7:
A plane-wave DFT calculation with PBE was carried out for crystalline B4PbAu at its relaxed geometry.

abc: 3.059 5.315 9.402
angles: 90.00 90.00 90.00
Space group Immm (No. 71)
Symmetry-distinct sites (fractional):
1 B 0.000 0.166 0.249 [8 per cell]
2 Pb 0.000 0.500 0.000 [2 per cell]
3 Au 0.000 0.500 0.500 [2 per cell]

ρ, g cm⁻³: 9.720
Raw total energy, eV/atom: -4.95
Energy relative to the lowest polymorph listed for this composition, meV per atom: 6

Entry 8:
A plane-wave DFT calculation with PBE was carried out for crystalline TbNdHf at its relaxed geometry.

abc: 7.405 7.405 7.405
angles: 90.00 90.00 90.00
Space group F-43m (No. 216)
Symmetry-distinct sites (fractional):
1 Tb 0.000 0.000 0.000 [4 per cell]
2 Nd 0.000 0.000 0.500 [4 per cell]
3 Hf 0.250 0.250 0.750 [4 per cell]

Energy of formation from the pure elements, eV/atom: 0.85
ρ, g cm⁻³: 7.878
Raw total energy, eV/atom: -5.60

Entry 9:
A plane-wave DFT calculation with PBE was carried out for crystalline Zr4GeAuN2 at its relaxed geometry.

abc: 3.2980 3.2980 13.8654
angles: 90.00 90.00 120.00
Space group P-6m2 (No. 187)
Symmetry-distinct sites (fractional):
1 Zr 0.0000 0.0000 0.1547 [2 per cell]
2 Zr 0.3333 0.6667 0.3369 [2 per cell]
3 Ge 0.3333 0.6667 0.0000 [1 per cell]
4 Au 0.0000 0.0000 0.5000 [1 per cell]
5 N 0.6667 0.3333 0.2478 [2 per cell]

ρ, g cm⁻³: 8.423
Raw total energy, eV/atom: -8.46

Entry 10:
A plane-wave DFT calculation with PBE was carried out for crystalline Cu7Hg6 at its relaxed geometry.

abc: 13.5497 13.5497 8.1676
angles: 90.00 90.00 120.00
Space group R3m (No. 160, hexagonal axes)
Symmetry-distinct sites (fractional):
1 Cu 0.0000 0.0000 0.0000 [3 per cell]
2 Cu 0.0000 0.0000 0.4990 [3 per cell]
3 Cu 0.0653 0.1306 0.2573 [9 per cell]
4 Cu 0.1059 0.2119 0.5665 [9 per cell]
5 Cu 0.1301 0.0651 0.7417 [9 per cell]
6 Cu 0.2120 0.1060 0.4326 [9 per cell]
7 Hg 0.9999 0.3890 0.9999 [18 per cell]
8 Hg 0.0972 0.5486 0.6026 [9 per cell]
9 Hg 0.2152 0.4303 0.7300 [9 per cell]

Energy of formation from the pure elements, eV/atom: 0.12
ρ, g cm⁻³: 12.647
Raw total energy, eV/atom: -2.02
Energy relative to the lowest polymorph listed for this composition, meV per atom: 0

Entry 11:
A plane-wave DFT calculation with PBE was carried out for crystalline KTbPd at its relaxed geometry.

abc: 7.144 7.144 7.144
angles: 90.00 90.00 90.00
Space group F-43m (No. 216)
Symmetry-distinct sites (fractional):
1 K 0.000 0.000 0.000 [4 per cell]
2 Tb 0.000 0.000 0.500 [4 per cell]
3 Pd 0.250 0.250 0.250 [4 per cell]

ρ, g cm⁻³: 5.546
Raw total energy, eV/atom: -3.58

Entry 12:
A plane-wave DFT calculation with PBE was carried out for crystalline KLaTe3Pd at its relaxed geometry.

abc: 4.576 17.592 10.481
angles: 90.00 90.00 90.00
Space group Cmcm (No. 63)
Symmetry-distinct sites (fractional):
1 K 0.000 0.246 0.250 [4 per cell]
2 La 0.000 0.000 0.000 [4 per cell]
3 Te 0.000 0.101 0.750 [4 per cell]
4 Te 0.000 0.383 0.598 [8 per cell]
5 Pd 0.000 0.493 0.250 [4 per cell]

ρ, g cm⁻³: 5.252
Raw total energy, eV/atom: -4.45

Entry 13:
A plane-wave DFT calculation with PBE was carried out for crystalline Nb4Cu3 at its relaxed geometry.

abc: 4.9716 4.9716 5.0816
angles: 90.00 90.00 120.00
Space group P6/mmm (No. 191)
Symmetry-distinct sites (fractional):
1 Nb 0.0000 0.0000 0.2411 [2 per cell]
2 Nb 0.3333 0.6667 0.0000 [2 per cell]
3 Cu 0.0000 0.5000 0.5000 [3 per cell]

Energy of formation from the pure elements, eV/atom: 0.04
ρ, g cm⁻³: 8.583
Raw total energy, eV/atom: -7.32

Entry 14:
A plane-wave DFT calculation with PBE was carried out for crystalline GdErSbI2 at its relaxed geometry.

abc: 4.3331 4.3331 11.1920
angles: 90.00 90.00 120.00
Space group P3m1 (No. 156)
Symmetry-distinct sites (fractional):
1 Gd 0.0000 0.0000 0.0000 [1 per cell]
2 Er 0.3333 0.6667 0.3016 [1 per cell]
3 Sb 0.6667 0.3333 0.1547 [1 per cell]
4 I 0.0000 0.0000 0.4733 [1 per cell]
5 I 0.3333 0.6667 0.8238 [1 per cell]

ρ, g cm⁻³: 6.388
Raw total energy, eV/atom: -4.54

Entry 15:
A plane-wave DFT calculation with PBE was carried out for crystalline NaLa3Os at its relaxed geometry.

abc: 6.261 8.081 6.787
angles: 90.00 90.00 90.00
Space group Pmma (No. 51)
Symmetry-distinct sites (fractional):
1 Na 0.250 0.000 0.162 [2 per cell]
2 La 0.250 0.241 0.664 [4 per cell]
3 La 0.250 0.500 0.151 [2 per cell]
4 Os 0.000 0.500 0.500 [2 per cell]

ρ, g cm⁻³: 6.093
Raw total energy, eV/atom: -5.56
Energy relative to the lowest polymorph listed for this composition, meV per atom: 0

Entry 16:
A plane-wave DFT calculation with PBE was carried out for crystalline CsSrU at its relaxed geometry.

abc: 8.914 8.914 8.914
angles: 90.00 90.00 90.00
Space group F-43m (No. 216)
Symmetry-distinct sites (fractional):
1 Cs 0.000 0.000 0.000 [4 per cell]
2 Sr 0.000 0.000 0.500 [4 per cell]
3 U 0.250 0.250 0.250 [4 per cell]

ρ, g cm⁻³: 4.300
Raw total energy, eV/atom: -2.76
Energy relative to the lowest polymorph listed for this composition, meV per atom: 0

Entry 17:
A plane-wave DFT calculation with PBE was carried out for crystalline TlFeCuSe2S at its relaxed geometry.

abc: 3.576 14.420 9.285
angles: 90.00 90.00 90.00
Space group Cmcm (No. 63)
Symmetry-distinct sites (fractional):
1 Tl 0.000 0.249 0.250 [4 per cell]
2 Fe 0.000 0.500 0.000 [4 per cell]
3 Cu 0.000 0.031 0.750 [4 per cell]
4 Se 0.000 0.115 0.532 [8 per cell]
5 S 0.000 0.438 0.750 [4 per cell]

ρ, g cm⁻³: 7.127
Raw total energy, eV/atom: -4.43

Entry 18:
A plane-wave DFT calculation with PBE was carried out for crystalline BaNdU at its relaxed geometry.

abc: 7.990 7.990 7.990
angles: 90.00 90.00 90.00
Space group F-43m (No. 216)
Symmetry-distinct sites (fractional):
1 Ba 0.000 0.000 0.000 [4 per cell]
2 Nd 0.250 0.250 0.750 [4 per cell]
3 U 0.000 0.000 0.500 [4 per cell]

ρ, g cm⁻³: 6.767
Raw total energy, eV/atom: -4.50
Energy relative to the lowest polymorph listed for this composition, meV per atom: 0

Entry 19:
A plane-wave DFT calculation with PBE was carried out for crystalline YTaIr at its relaxed geometry.

abc: 5.575 5.769 7.446
angles: 90.00 90.00 90.00
Space group Imma (No. 74)
Symmetry-distinct sites (fractional):
1 Y 0.000 0.250 0.133 [4 per cell]
2 Ta 0.250 0.250 0.750 [4 per cell]
3 Ir 0.000 0.000 0.500 [4 per cell]

Energy of formation from the pure elements, eV/atom: -0.58
ρ, g cm⁻³: 12.817
Raw total energy, eV/atom: -9.63
Energy relative to the lowest polymorph listed for this composition, meV per atom: 0

Entry 20:
A plane-wave DFT calculation with PBE was carried out for crystalline CsDyLuSe3 at its relaxed geometry.

abc: 4.427 16.386 11.221
angles: 90.00 90.00 90.00
Space group Cmcm (No. 63)
Symmetry-distinct sites (fractional):
1 Cs 0.000 0.238 0.250 [4 per cell]
2 Dy 0.000 0.500 0.000 [4 per cell]
3 Lu 0.000 0.035 0.750 [4 per cell]
4 Se 0.000 0.118 0.547 [8 per cell]
5 Se 0.000 0.444 0.750 [4 per cell]

ρ, g cm⁻³: 5.772
Raw total energy, eV/atom: -4.97

Entry 21:
A plane-wave DFT calculation with PBE was carried out for crystalline GdUSb at its relaxed geometry.

abc: 7.325 7.325 7.325
angles: 90.00 90.00 90.00
Space group F-43m (No. 216)
Symmetry-distinct sites (fractional):
1 Gd 0.000 0.000 0.000 [4 per cell]
2 U 0.250 0.250 0.250 [4 per cell]
3 Sb 0.000 0.000 0.500 [4 per cell]

ρ, g cm⁻³: 8.738
Raw total energy, eV/atom: -6.09

Entry 22:
A plane-wave DFT calculation with PBE was carried out for crystalline KTbCu3Te4 at its relaxed geometry.

abc: 6.756 6.756 6.756
angles: 90.00 90.00 90.00
Space group P-43m (No. 215)
Symmetry-distinct sites (fractional):
1 K 0.000 0.000 0.000 [1 per cell]
2 Tb 0.500 0.500 0.500 [1 per cell]
3 Cu 0.000 0.500 0.500 [3 per cell]
4 Te 0.261 0.261 0.261 [4 per cell]

ρ, g cm⁻³: 4.842
Raw total energy, eV/atom: -3.59
Energy relative to the lowest polymorph listed for this composition, meV per atom: 216

Entry 23:
A plane-wave DFT calculation with PBE was carried out for crystalline Tb6InGa2 at its relaxed geometry.

abc: 9.699 9.723 10.641
angles: 90.00 90.00 90.00
Space group Immm (No. 71)
Symmetry-distinct sites (fractional):
1 Tb 0.000 0.202 0.240 [8 per cell]
2 Tb 0.204 0.500 0.179 [8 per cell]
3 Tb 0.221 0.316 0.500 [8 per cell]
4 In 0.000 0.000 0.000 [2 per cell]
5 In 0.000 0.000 0.500 [2 per cell]
6 Ga 0.000 0.353 0.000 [4 per cell]
7 Ga 0.000 0.500 0.379 [4 per cell]

ρ, g cm⁻³: 7.995
Raw total energy, eV/atom: -4.49

Entry 24:
A plane-wave DFT calculation with PBE was carried out for crystalline TbYCSe at its relaxed geometry.

abc: 3.7730 3.7730 13.3420
angles: 90.00 90.00 120.00
Space group P-6m2 (No. 187)
Symmetry-distinct sites (fractional):
1 Tb 0.0000 0.0000 0.1497 [2 per cell]
2 Y 0.3333 0.6667 0.3505 [2 per cell]
3 C 0.6667 0.3333 0.2501 [2 per cell]
4 Se 0.0000 0.0000 0.5000 [1 per cell]
5 Se 0.3333 0.6667 0.0000 [1 per cell]

ρ, g cm⁻³: 6.841
Raw total energy, eV/atom: -7.10